No. 1
Entry from the Alexandria database: a relaxed structure of TiGa2Pd2 (PBE).

Energy: -0.198 Ha/atom
Total magnetic moment: 0.0000 μB/atom
Space group: No. 11
Calculated volume: 15.7 Å³ per atom
Energy above the lowest structure with this stoichiometry: 0.000 eV/atom

The structure in POSCAR format:
```
TiGa2Pd2
1.0
2.896 0.000 0.000
0.000 4.527 0.227
0.000 -0.644 11.907
Ga Ti Pd
4 2 4
direct
0.750 0.748 0.042
0.750 0.248 0.357
0.250 0.252 0.958
0.250 0.752 0.643
0.750 0.253 0.751
0.250 0.747 0.249
0.250 0.251 0.548
0.250 0.753 0.853
0.750 0.749 0.452
0.750 0.247 0.147
```

---

No. 2
Entry from the Alexandria database: a relaxed structure of Ti3GaPd (PBE).

Energy: -0.241 Ha/atom
Total magnetic moment: 0.0000 μB/atom
Space group: No. 63
Calculated volume: 16.8 Å³ per atom
Energy above the lowest structure with this stoichiometry: 0.133 eV/atom

The structure in POSCAR format:
```
Ti3GaPd
1.0
-3.996 1.059 2.574
-2.564 0.418 -4.152
-0.333 -7.050 2.385
Ti Pd Ga
6 2 2
direct
0.750 0.414 0.325
0.000 0.000 0.000
0.250 0.088 0.675
0.250 0.586 0.675
0.750 0.912 0.325
0.500 0.000 0.000
0.750 0.437 0.875
0.250 0.563 0.125
0.750 0.833 0.666
0.250 0.167 0.334
```

---

No. 3
Entry from the Alexandria database: a relaxed structure of Ti12Ga6Pd (PBE).

Energy: -0.239 Ha/atom
Total magnetic moment: 0.0002 μB/atom
Space group: No. 148
Calculated volume: 16.3 Å³ per atom

The structure in POSCAR format:
```
Ti12Ga6Pd
1.0
6.719 0.528 0.633
-0.497 6.721 0.633
-0.497 -0.579 6.726
Ti Ga Pd
12 6 1
direct
0.615 0.939 0.855
0.807 0.520 0.439
0.520 0.439 0.807
0.385 0.061 0.145
0.939 0.855 0.615
0.061 0.145 0.385
0.480 0.561 0.193
0.193 0.480 0.561
0.561 0.193 0.480
0.145 0.385 0.061
0.439 0.807 0.520
0.855 0.615 0.939
0.256 0.731 0.877
0.744 0.269 0.123
0.123 0.744 0.269
0.269 0.123 0.744
0.731 0.877 0.256
0.877 0.256 0.731
0.000 0.000 0.000
```